1.
The following is a DFT calculation (PBE) of a geometry-optimized Sb2RuCl structure.

abc: 3.414 3.609 7.507
angles: 90.00 90.00 90.00
Fractional positions:
Ru (0.500, 0.500, 0.810)
Cl (0.000, 0.000, 0.552)
Sb (0.500, 0.500, 0.197)
Sb (0.000, 0.000, 0.941)

Summary:
Formation energy without anion corrections: 17 kJ/mol of atoms
Symmetry: No. 25
Raw total energy: -4.667 eV/atom

2.
The following is a DFT calculation (PBE) of a geometry-optimized SbRu2Cl structure.

abc: 3.058 3.877 5.741
angles: 90.00 90.00 90.00
Fractional positions:
Sb (0.000, 0.000, 0.449)
Ru (0.500, 0.500, 0.248)
Ru (0.000, 0.000, 0.953)
Cl (0.500, 0.500, 0.849)

Summary:
Formation energy without anion corrections: 31 kJ/mol of atoms
Symmetry: No. 25
Raw total energy: -5.804 eV/atom

Across the entries above, E above lowest polymorph takes the values 0.3547 0.2152 eV/atom, respectively.
Across the entries above, D(E_F) takes the values 0.5116 1.0667 states/eV/atom, respectively.